DFT (PBE-GGA) results for crystalline RbHg2PtPb at its relaxed geometry.

Energy of formation, meV per atom: -157.5
Density of states at the Fermi level, states/eV per cell: 2.31
Space-group type: P4/mmm, No. 123

Geometry as POSCAR:
```
RbHg2PtPb
1.0
5.4367 0.0000 0.0000
0.0000 5.4367 0.0000
0.0000 0.0000 5.4289
Rb Hg Pt Pb
1 2 1 1
Direct
0.0000 0.0000 0.0000
0.0000 0.5000 0.5000
0.5000 0.0000 0.5000
0.5000 0.5000 0.5000
0.5000 0.5000 0.0000
```

DFT (PBE-GGA) results for crystalline TbRh4 at its relaxed geometry.

Energy of formation, meV per atom: 1490.5
Density of states at the Fermi level, states/eV per cell: 8.83
Space-group type: Pm-3m, No. 221

Geometry as POSCAR:
```
TbRh4
1.0
4.8047 0.0000 0.0000
0.0000 4.8047 0.0000
0.0000 0.0000 4.8047
Tb Rh
1 4
Direct
0.0000 0.0000 0.0000
0.0000 0.0000 0.5000
0.0000 0.5000 0.0000
0.5000 0.0000 0.0000
0.5000 0.5000 0.5000
```

DFT (PBE-GGA) results for crystalline TlSbBr3 at its relaxed geometry.

E_form (uncorrected), eV/atom: -0.370
Space-group type: P-1, No. 2

Geometry as POSCAR:
```
TlSbBr3
1.0
7.0198 0.0000 0.0000
0.0001 7.0199 0.0000
3.4887 3.5071 10.2043
Tl Sb Br
2 2 6
Direct
0.2499 0.2500 0.0000
0.7501 0.7500 0.0000
0.0638 0.5638 0.3727
0.9362 0.4362 0.6273
0.1944 0.8139 0.5004
0.2504 0.7503 0.9996
0.3140 0.3051 0.5005
0.6860 0.6949 0.4995
0.7496 0.2497 0.0004
0.8056 0.1861 0.4996
```

DFT (PBE-GGA) results for crystalline K2CeTlCl8 at its relaxed geometry.

E_form (uncorrected), eV/atom: -1.638
Density of states at the Fermi level, states/eV per cell: 3.57
Space-group type: P2/m, No. 10

Geometry as POSCAR:
```
K2CeTlCl8
1.0
6.7795 0.0000 0.0000
0.0000 9.0254 0.0000
-0.4036 0.0000 6.9167
K Ce Tl Cl
2 1 1 8
Direct
0.0000 0.2484 0.0000
0.0000 0.7516 0.0000
0.5000 0.0000 0.5000
0.5000 0.5000 0.5000
0.2610 0.5000 0.1839
0.2741 0.0000 0.1785
0.2850 0.2202 0.6370
0.2850 0.7798 0.6370
0.7150 0.2202 0.3630
0.7150 0.7798 0.3630
0.7259 0.0000 0.8215
0.7390 0.5000 0.8161
```

DFT (PBE-GGA) results for crystalline Ga2TcRh at its relaxed geometry.

Energy of formation, meV per atom: -372.2
Density of states at the Fermi level, states/eV per cell: 2.93
Space-group type: P4/mmm, No. 123

Geometry as POSCAR:
```
Ga2TcRh
1.0
4.3419 0.0000 0.0000
0.0000 4.3419 0.0000
0.0000 0.0000 3.0085
Ga Tc Rh
2 1 1
Direct
0.0000 0.5000 0.0000
0.5000 0.0000 0.0000
0.0000 0.0000 0.5000
0.5000 0.5000 0.5000
```

DFT (PBE-GGA) results for crystalline CaEr2Mg3 at its relaxed geometry.

Energy of formation, meV per atom: -70.9
Density of states at the Fermi level, states/eV per cell: 5.77
Space-group type: P4/mmm, No. 123

Geometry as POSCAR:
```
CaEr2Mg3
1.0
3.8011 0.0000 0.0000
0.0000 3.8011 0.0000
0.0000 0.0000 11.6692
Ca Er Mg
1 2 3
Direct
0.0000 0.0000 0.0000
0.0000 0.0000 0.3442
0.0000 0.0000 0.6558
0.5000 0.5000 0.1812
0.5000 0.5000 0.5000
0.5000 0.5000 0.8188
```

DFT (PBE-GGA) results for crystalline CeDy12Er2 at its relaxed geometry.

Energy of formation, meV per atom: 355.1
Density of states at the Fermi level, states/eV per cell: 53.70
Space-group type: P4/nbm, No. 125

Geometry as POSCAR:
```
CeDy12Er2
1.0
6.3714 0.0000 0.0000
0.0000 6.3714 0.0000
0.0000 0.0000 24.8705
Ce Dy Er
2 24 4
Direct
0.2500 0.7500 0.0000
0.7500 0.2500 0.0000
0.0659 0.5659 0.1150
0.0659 0.9341 0.8850
0.0815 0.5815 0.4387
0.0815 0.9185 0.5613
0.2500 0.2500 0.2153
0.2500 0.2500 0.3390
0.2500 0.2500 0.6610
0.2500 0.2500 0.7847
0.4185 0.5815 0.5613
0.4185 0.9185 0.4387
0.4341 0.5659 0.8850
0.4341 0.9341 0.1150
0.5659 0.0659 0.8850
0.5659 0.4341 0.1150
0.5815 0.0815 0.5613
0.5815 0.4185 0.4387
0.7500 0.7500 0.2153
0.7500 0.7500 0.3390
0.7500 0.7500 0.6610
0.7500 0.7500 0.7847
0.9185 0.0815 0.4387
0.9185 0.4185 0.5613
0.9341 0.0659 0.1150
0.9341 0.4341 0.8850
0.2500 0.7500 0.2746
0.2500 0.7500 0.7254
0.7500 0.2500 0.2746
0.7500 0.2500 0.7254
```

DFT (PBE-GGA) results for crystalline LaY2AgGe at its relaxed geometry.

Energy of formation, meV per atom: 952.5
Density of states at the Fermi level, states/eV per cell: 5.65
Space-group type: P4/mmm, No. 123

Geometry as POSCAR:
```
LaY2AgGe
1.0
5.7471 0.0000 0.0000
0.0000 5.7471 0.0000
0.0000 0.0000 5.3109
La Y Ag Ge
1 2 1 1
Direct
0.0000 0.0000 0.0000
0.0000 0.5000 0.0000
0.5000 0.0000 0.0000
0.5000 0.5000 0.5000
0.0000 0.0000 0.5000
```